(1)
Entry from the Alexandria database: a relaxed ScTa2Rh crystal (GGA-PBE).

abc: 4.709 2.920 5.281
angles: 77.07 90.00 90.00
Fractional positions:
Rh  0.500  0.250  0.250
Sc  0.500  0.750  0.750
Ta  0.000  0.030  0.006
Ta  0.000  0.470  0.494

Values from the calculation:
E above lowest polymorph: 177 meV/atom



(2)
Entry from the Alexandria database: a relaxed V4SnRu5 crystal (GGA-PBE).

abc: 2.990 2.990 16.071
angles: 90.00 90.00 90.00
Fractional positions:
V  0.000  0.000  0.213
V  0.000  0.000  0.403
V  0.000  0.000  0.597
V  0.000  0.000  0.787
Sn  0.000  0.000  0.000
Ru  0.500  0.500  0.123
Ru  0.500  0.500  0.313
Ru  0.500  0.500  0.500
Ru  0.500  0.500  0.687
Ru  0.500  0.500  0.877



(3)
Entry from the Alexandria database: a relaxed BeRh2Se crystal (GGA-PBE).

abc: 5.113 5.113 6.474
angles: 66.74 66.74 90.00
Fractional positions:
Be  0.500  0.500  0.000
Be  0.250  0.750  0.500
Rh  0.584  0.125  0.250
Rh  0.166  0.625  0.250
Rh  0.375  0.416  0.750
Rh  0.875  0.834  0.750
Se  0.000  0.000  0.000
Se  0.750  0.250  0.500

Values from the calculation:
raw formation energy: 0.11 eV per atom
E above lowest polymorph: 319 meV/atom



Number 1: E_tot -9.53 eV per atom. Number 2: E_tot -8.89 eV per atom. Number 3: E_tot -5.36 eV per atom.